Entry from Alexandria via LeMat-Bulk: PrBiSe2O after structural relaxation (PBE-GGA).

Properties
**Crystal system**: tetragonal
**Raw formation energy**: -1.660 eV/atom

POSCAR file:
```
PrBiSe2O
1.0
-2.8023 1.9058 -2.3495
-1.0379 -3.6138 -1.6936
-10.3151 -2.0311 10.6555
Se O Pr Bi
4 2 2 2
Direct
0.0000 0.5000 0.6857
0.5000 0.0000 0.9012
0.5000 0.0000 0.3143
0.0000 0.5000 0.0988
0.0000 0.0000 0.5000
0.5000 0.5000 0.5000
0.0000 0.5000 0.4200
0.5000 0.0000 0.5800
0.5000 0.0000 0.1357
0.0000 0.5000 0.8643
```